Below is a geometry-optimized EuCuBi2 structure, with properties calculated at the PBE level.

The structure in POSCAR format:
```
EuCuBi2
1.0
-0.3101 -2.9508 2.1191
2.9468 -1.3826 1.6427
-0.8520 4.6526 9.4908
Eu Bi Cu
1 2 1
Cartesian
0.0000 0.0000 0.0000
-0.3012 2.7125 6.8698
2.0859 -2.3933 6.3827
0.8923 0.1596 6.6263
```

Values from the calculation:
- space-group type = R-3m (166)
- total energy (eV/atom) = -5.41